## Li24Mn5Cr7O36 (PBE with a Hubbard U)

Data for Li24Mn5Cr7O36 after structural relaxation.

M_tot: 14.99 μB/cell
Theoretical density: 3.641 g cm⁻³
Symmetry: P1, No. 1
Relative energy among the computed polymorphs: 18 meV per atom

Cell: 5.008 9.735 13.294 Å, 96.82 100.18 94.60°
Site moments in Bohr magnetons follow the coordinates.
Sites, in units of the cell vectors:
Li: 0.167 0.000 0.833  0.00
Li: 0.047 0.001 0.614  0.00
Li: 0.001 0.749 0.249  0.00
Li: 0.335 0.750 0.915  0.00
Li: 0.042 0.496 0.111  0.00
Li: 0.378 0.500 0.780  0.00
Li: 0.167 0.500 0.333  0.00
Li: 0.502 0.499 0.999  0.00
Li: 0.282 0.499 0.553  0.00
Li: 0.332 0.250 0.417  0.00
Li: 0.504 0.000 0.500  0.00
Li: 0.293 0.004 0.056  0.00
Li: 0.619 0.000 0.720  0.00
Li: 0.378 0.001 0.279  0.00
Li: 0.708 0.998 0.946  0.00
Li: 0.672 0.751 0.583  0.00
Li: 0.719 0.504 0.452  0.00
Li: 0.834 0.500 0.668  0.00
Li: 0.617 0.498 0.216  0.00
Li: 0.953 0.501 0.888  0.00
Li: 0.666 0.249 0.083  0.01
Li: 0.832 0.001 0.166  0.00
Li: 0.005 0.250 0.750  0.00
Li: 0.953 0.997 0.386  0.00
Mn: 0.113 0.251 0.973  3.14
Mn: 0.112 0.750 0.473  -3.08
Mn: 0.218 0.248 0.193  3.15
Mn: 0.445 0.250 0.640  -3.08
Mn: 0.775 0.750 0.806  1.10
Cr: 0.227 0.750 0.694  2.12
Cr: 0.563 0.249 0.860  2.14
Cr: 0.437 0.750 0.140  2.15
Cr: 0.566 0.751 0.361  2.12
Cr: 0.766 0.249 0.306  2.17
Cr: 0.898 0.252 0.528  2.12
Cr: 0.891 0.748 0.025  2.14
O: 0.995 0.860 0.928  -0.04
O: 0.067 0.636 0.785  -0.03
O: 0.996 0.364 0.432  -0.07
O: 0.149 0.364 0.646  0.02
O: 0.264 0.364 0.882  -0.04
O: 0.331 0.862 0.595  -0.01
O: 0.070 0.136 0.285  -0.04
O: 0.191 0.139 0.525  -0.01
O: 0.401 0.135 0.951  -0.04
O: 0.150 0.862 0.143  -0.06
O: 0.264 0.863 0.382  0.00
O: 0.481 0.863 0.811  -0.05
O: 0.332 0.136 0.736  0.02
O: 0.180 0.637 0.022  -0.07
O: 0.404 0.636 0.452  -0.01
O: 0.522 0.640 0.692  -0.04
O: 0.337 0.637 0.235  -0.06
O: 0.661 0.637 0.901  -0.06
O: 0.334 0.361 0.094  -0.06
O: 0.663 0.361 0.762  -0.01
O: 0.474 0.361 0.307  -0.09
O: 0.595 0.364 0.548  0.00
O: 0.813 0.363 0.977  -0.03
O: 0.667 0.863 0.265  -0.07
O: 0.517 0.137 0.188  -0.03
O: 0.737 0.137 0.619  0.00
O: 0.858 0.138 0.859  -0.08
O: 0.597 0.863 0.048  -0.04
O: 0.817 0.864 0.479  0.02
O: 0.930 0.864 0.716  -0.03
O: 0.670 0.137 0.402  -0.07
O: 0.736 0.636 0.118  -0.03
O: 0.858 0.638 0.359  -0.01
O: 0.997 0.637 0.570  0.02
O: 0.930 0.364 0.216  -0.04
O: 0.998 0.138 0.072  -0.06